Compound: SiNi2Os
Source: Alexandria
Functional: meta-GGA SCAN
Structure: single point on PBEsol structure

POSCAR file:
```
SiNi2Os
1.0
2.616 0.000 0.000
0.000 2.616 0.000
0.000 0.000 6.696
Si Ni Os
1 2 1
Direct
0.000 0.000 0.000
0.500 0.500 0.222
0.500 0.500 0.778
0.000 0.000 0.500
```

Output
DOS(E_F), states/eV/f.u.: 2.5
Energy relative to the elements, uncorrected, kcal/mol of atoms: -2.02
Size of the total moment, μB/atom: 0.0000
E_tot, eV/atom: -28.648
Symmetry: P4/mmm, No. 123
Crystal system: tetragonal

***

Compound: Sr2CuAg
Source: Alexandria
Functional: meta-GGA SCAN
Structure: single point on PBEsol structure

POSCAR file:
```
Sr2CuAg
1.0
4.479 0.000 0.000
0.000 4.479 0.000
0.000 0.000 10.794
Sr Cu Ag
4 2 2
Direct
0.000 0.000 0.000
0.000 0.500 0.250
0.500 0.000 0.750
0.500 0.500 0.500
0.000 0.500 0.750
0.500 0.000 0.250
0.000 0.000 0.500
0.500 0.500 0.000
```

Output
DOS(E_F), states/eV/f.u.: 3.0
Size of the total moment, μB/atom: 0.0000
ΔH_f (0 K), eV per atom: 0.11
E_tot, eV/atom: -22.671
Symmetry: I-4m2, No. 119
Crystal system: tetragonal